Entry 1:
The following is a PBE calculation of an optimized crystal structure of In3Ag2Au3, from the Alexandria database.

Results
As for the space-group type: No. 193. As for the final energy: -49.72 eV for the cell shown. The calculation puts the formation energy at -0.14 eV per atom.

Structure (CIF):
```
data_In3Ag2Au3
_symmetry_space_group_name_H-M 'P 1'
_symmetry_Int_Tables_number 1
_cell_length_a 8.272
_cell_length_b 8.272
_cell_length_c 5.736
_cell_angle_alpha 90.00
_cell_angle_beta 90.00
_cell_angle_gamma 120.00
loop_
_symmetry_equiv_pos_as_xyz
'x,y,z'
loop_
_atom_site_label
_atom_site_fract_x
_atom_site_fract_y
_atom_site_fract_z
In1 0.000 0.281 0.250
In2 0.000 0.719 0.750
In3 0.281 0.000 0.250
In4 0.281 0.281 0.750
In5 0.719 0.000 0.750
In6 0.719 0.719 0.250
Ag1 0.333 0.667 0.000
Ag2 0.333 0.667 0.500
Ag3 0.667 0.333 0.000
Ag4 0.667 0.333 0.500
Au1 0.000 0.372 0.750
Au2 0.000 0.628 0.250
Au3 0.372 0.000 0.750
Au4 0.372 0.372 0.250
Au5 0.628 0.000 0.250
Au6 0.628 0.628 0.750
```

=====

Entry 2:
The following is a PBE calculation of an optimized crystal structure of Cd2As2Ir, from the Alexandria database.

Results
As for the space-group type: No. 139. As for the final energy: -34.62 eV for the cell shown. The calculation puts the formation energy at 0.54 eV per atom.

Structure (CIF):
```
data_Cd2As2Ir
_symmetry_space_group_name_H-M 'P 1'
_symmetry_Int_Tables_number 1
_cell_length_a 3.640
_cell_length_b 3.640
_cell_length_c 16.827
_cell_angle_alpha 90.00
_cell_angle_beta 90.00
_cell_angle_gamma 90.00
loop_
_symmetry_equiv_pos_as_xyz
'x,y,z'
loop_
_atom_site_label
_atom_site_fract_x
_atom_site_fract_y
_atom_site_fract_z
Cd1 0.000 0.500 0.250
Cd2 0.000 0.500 0.750
Cd3 0.500 0.000 0.250
Cd4 0.500 0.000 0.750
As1 0.000 0.000 0.072
As2 0.000 0.000 0.928
As3 0.500 0.500 0.428
As4 0.500 0.500 0.572
Ir1 0.000 0.000 0.500
Ir2 0.500 0.500 0.000
```

=====

Entry 3:
The following is a PBE calculation of an optimized crystal structure of Np2Tl3ZnS6, from the Alexandria database.

Results
As for the space-group type: No. 12. As for the final energy: -68.99 eV for the cell shown.

Structure (CIF):
```
data_Np2Tl3ZnS6
_symmetry_space_group_name_H-M 'P 1'
_symmetry_Int_Tables_number 1
_cell_length_a 6.818
_cell_length_b 6.818
_cell_length_c 7.877
_cell_angle_alpha 98.38
_cell_angle_beta 98.38
_cell_angle_gamma 119.79
loop_
_symmetry_equiv_pos_as_xyz
'x,y,z'
loop_
_atom_site_label
_atom_site_fract_x
_atom_site_fract_y
_atom_site_fract_z
Np1 0.166 0.834 0.000
Np2 0.834 0.166 0.000
Tl1 0.000 0.000 0.500
Tl2 0.331 0.669 0.500
Tl3 0.669 0.331 0.500
Zn1 0.500 0.500 0.000
S1 0.112 0.436 0.810
S2 0.237 0.237 0.195
S3 0.436 0.112 0.810
S4 0.564 0.888 0.190
S5 0.763 0.763 0.805
S6 0.888 0.564 0.190
```

=====

Entry 4:
The following is a PBE calculation of an optimized crystal structure of Fe4AsCl, from the Alexandria database.

Results
As for the space-group type: No. 216. As for the final energy: -37.20 eV for the cell shown.

Structure (CIF):
```
data_Fe4AsCl
_symmetry_space_group_name_H-M 'P 1'
_symmetry_Int_Tables_number 1
_cell_length_a 5.005
_cell_length_b 5.005
_cell_length_c 5.005
_cell_angle_alpha 60.00
_cell_angle_beta 60.00
_cell_angle_gamma 60.00
loop_
_symmetry_equiv_pos_as_xyz
'x,y,z'
loop_
_atom_site_label
_atom_site_fract_x
_atom_site_fract_y
_atom_site_fract_z
Fe1 0.376 0.376 0.376
Fe2 0.376 0.376 0.872
Fe3 0.376 0.872 0.376
Fe4 0.872 0.376 0.376
As1 0.750 0.750 0.750
Cl1 0.000 0.000 0.000
```

=====

> What is the formula in the third record?

Np2Tl3ZnS6

=====

Repeat the second record exactly.
The following is a PBE calculation of an optimized crystal structure of Cd2As2Ir, from the Alexandria database.

Results
As for the space-group type: No. 139. As for the final energy: -34.62 eV for the cell shown. The calculation puts the formation energy at 0.54 eV per atom.

Structure (CIF):
```
data_Cd2As2Ir
_symmetry_space_group_name_H-M 'P 1'
_symmetry_Int_Tables_number 1
_cell_length_a 3.640
_cell_length_b 3.640
_cell_length_c 16.827
_cell_angle_alpha 90.00
_cell_angle_beta 90.00
_cell_angle_gamma 90.00
loop_
_symmetry_equiv_pos_as_xyz
'x,y,z'
loop_
_atom_site_label
_atom_site_fract_x
_atom_site_fract_y
_atom_site_fract_z
Cd1 0.000 0.500 0.250
Cd2 0.000 0.500 0.750
Cd3 0.500 0.000 0.250
Cd4 0.500 0.000 0.750
As1 0.000 0.000 0.072
As2 0.000 0.000 0.928
As3 0.500 0.500 0.428
As4 0.500 0.500 0.572
Ir1 0.000 0.000 0.500
Ir2 0.500 0.500 0.000
```

=====

What did the first record say?
The following is a PBE calculation of an optimized crystal structure of In3Ag2Au3, from the Alexandria database.

Results
As for the space-group type: No. 193. As for the final energy: -49.72 eV for the cell shown. The calculation puts the formation energy at -0.14 eV per atom.

Structure (CIF):
```
data_In3Ag2Au3
_symmetry_space_group_name_H-M 'P 1'
_symmetry_Int_Tables_number 1
_cell_length_a 8.272
_cell_length_b 8.272
_cell_length_c 5.736
_cell_angle_alpha 90.00
_cell_angle_beta 90.00
_cell_angle_gamma 120.00
loop_
_symmetry_equiv_pos_as_xyz
'x,y,z'
loop_
_atom_site_label
_atom_site_fract_x
_atom_site_fract_y
_atom_site_fract_z
In1 0.000 0.281 0.250
In2 0.000 0.719 0.750
In3 0.281 0.000 0.250
In4 0.281 0.281 0.750
In5 0.719 0.000 0.750
In6 0.719 0.719 0.250
Ag1 0.333 0.667 0.000
Ag2 0.333 0.667 0.500
Ag3 0.667 0.333 0.000
Ag4 0.667 0.333 0.500
Au1 0.000 0.372 0.750
Au2 0.000 0.628 0.250
Au3 0.372 0.000 0.750
Au4 0.372 0.372 0.250
Au5 0.628 0.000 0.250
Au6 0.628 0.628 0.750
```

=====

> Which of these has the lowest final energy?

Np2Tl3ZnS6